Computed, not measured: Er4OsBr5 after structural relaxation at the PBE level of DFT.

Cell lengths 3.9717, 8.5910, 9.5064 Å; angles 102.57, 102.06, 90.00 degrees
Positions (direct):
Er 0.0031 0.2164 0.0062
Er 0.6455 0.0745 0.2910
Br 0.8214 0.1519 0.6428
Os 0.5000 0.0000 0.0000
Br 0.1786 0.8481 0.3572
Er 0.9969 0.7836 0.9938
Br 0.1694 0.3262 0.3389
Br 0.5000 0.5000 0.0000
Er 0.3545 0.9255 0.7090
Br 0.8306 0.6738 0.6611

Results
The density of states at the Fermi level comes out at 0.602 states/eV/atom. The calculation puts the total magnetization at 0.00 μB per atom. As for the uncorrected formation energy: -1298 meV/atom. The total energy comes out at -5.082 eV per atom.

---

Computed, not measured: Er4OsBr4 after structural relaxation at the PBE level of DFT.

Cell lengths 8.9045, 8.9045, 6.5034 Å; angles 89.43, 89.43, 89.27 degrees
Positions (direct):
Br 0.1896 0.4141 0.5917
Br 0.4190 0.8165 0.4107
Er 0.7518 0.0987 0.9902
Br 0.8104 0.5859 0.4083
Br 0.8165 0.4190 0.9107
Os 0.9952 0.0048 0.2500
Er 0.9032 0.7530 0.0090
Er 0.0968 0.2470 0.9910
Br 0.5859 0.8104 0.9083
Er 0.2482 0.9013 0.0098
Er 0.9013 0.2482 0.5098
Os 0.0048 0.9952 0.7500
Er 0.0987 0.7518 0.4902
Er 0.2470 0.0968 0.4910
Br 0.4141 0.1896 0.0917
Er 0.7530 0.9032 0.5090
Br 0.1835 0.5810 0.0893
Br 0.5810 0.1835 0.5893

Results
The calculation puts the total magnetization at 0.00 μB per atom. As for the uncorrected formation energy: -1274 meV/atom. The total energy comes out at -5.293 eV per atom.

---

Computed, not measured: Er4PBr5 after structural relaxation at the PBE level of DFT.

Cell lengths 3.9456, 8.1883, 9.1282 Å; angles 102.44, 102.48, 90.00 degrees
Positions (direct):
Er 0.0001 0.7848 0.0002
Br 0.1724 0.8354 0.3448
P 0.5000 0.0000 0.0000
Er 0.9999 0.2152 0.9998
Er 0.6479 0.0773 0.2957
Br 0.1658 0.3338 0.3315
Br 0.8276 0.1646 0.6552
Br 0.8342 0.6662 0.6685
Br 0.5000 0.5000 0.0000
Er 0.3521 0.9227 0.7043

Results
The density of states at the Fermi level comes out at 0.279 states/eV/atom. The calculation puts the total magnetization at 0.00 μB per atom. As for the uncorrected formation energy: -1565 meV/atom. The total energy comes out at -4.768 eV per atom.

---

Computed, not measured: Er2PBr2 after structural relaxation at the PBE level of DFT.

Cell lengths 3.9656, 3.9656, 10.8900 Å; angles 79.51, 79.51, 60.00 degrees
Positions (direct):
Br 0.2297 0.2297 0.3108
Er 0.6198 0.6198 0.1405
Br 0.7703 0.7703 0.6892
P 0.0000 0.0000 0.0000
Er 0.3802 0.3802 0.8595

Results
The density of states at the Fermi level comes out at 0.280 states/eV/atom. The calculation puts the total magnetization at 0.00 μB per atom. As for the uncorrected formation energy: -1755 meV/atom. The total energy comes out at -5.332 eV per atom.

---

Computed, not measured: Er3PBr3 after structural relaxation at the PBE level of DFT.

Cell lengths 6.7822, 6.7822, 11.3333 Å; angles 72.59, 72.59, 60.00 degrees
Positions (direct):
Er 0.7085 0.3843 0.8609
Er 0.9536 0.2915 0.1391
Br 0.5645 0.2284 0.3106
Er 0.2915 0.6157 0.1391
P 0.3333 0.3333 0.0000
Er 0.3843 0.0464 0.8609
Br 0.4355 0.7716 0.6894
Br 0.7716 0.1035 0.6894
P 0.6667 0.6667 0.0000
Er 0.0464 0.7085 0.8609
Br 0.1035 0.4355 0.6894
Br 0.8965 0.5645 0.3106
Er 0.6157 0.9536 0.1391
Br 0.2284 0.8965 0.3106

Results
The density of states at the Fermi level comes out at 0.251 states/eV/atom. The calculation puts the total magnetization at 0.00 μB per atom. As for the uncorrected formation energy: -1572 meV/atom. The total energy comes out at -5.018 eV per atom.

---

Computed, not measured: Er6P5Br after structural relaxation at the PBE level of DFT.

Cell lengths 6.9112, 6.9112, 6.8955 Å; angles 99.61, 99.61, 119.93 degrees
Positions (direct):
Er 0.5574 0.9124 0.7383
Er 0.7330 0.7330 0.2603
P 0.6676 0.3324 0.0000
Br 0.0000 0.0000 0.0000
Er 0.9124 0.5574 0.7383
Er 0.4426 0.0876 0.2617
Er 0.0876 0.4426 0.2617
P 0.3324 0.6676 0.0000
Er 0.2670 0.2670 0.7397
P 0.5000 0.5000 0.5000
P 0.1601 0.8399 0.5000
P 0.8399 0.1601 0.5000

Results
The density of states at the Fermi level comes out at 0.176 states/eV/atom. The calculation puts the total magnetization at 0.00 μB per atom. As for the uncorrected formation energy: -1592 meV/atom. The total energy comes out at -6.267 eV per atom.

---

Computed, not measured: Er2PaBr after structural relaxation at the PBE level of DFT.

Cell lengths 3.3215, 3.3215, 11.4337 Å; angles 81.65, 81.65, 60.00 degrees
Positions (direct):
Pa 0.0000 0.0000 0.0000
Er 0.9038 0.9038 0.2885
Br 0.5000 0.5000 0.5000
Er 0.0962 0.0962 0.7115

Results
The density of states at the Fermi level comes out at 1.135 states/eV/atom. The calculation puts the total magnetization at 0.00 μB per atom. As for the uncorrected formation energy: -98 meV/atom. The total energy comes out at -5.171 eV per atom.

---

Computed, not measured: ErPaBr6 after structural relaxation at the PBE level of DFT.

Cell lengths 7.5986, 7.5986, 7.0285 Å; angles 98.23, 98.23, 124.86 degrees
Last column: magnetic moment on the atom in μB.
Positions (direct):
Pa 0.5000 0.5000 0.5000  1.70
Br 0.0942 0.3870 0.2423  -0.01
Br 0.9058 0.6130 0.7577  -0.01
Br 0.2465 0.2465 0.7558  -0.01
Er 0.0000 0.0000 0.0000  0.15
Br 0.3870 0.0942 0.2423  -0.01
Br 0.6130 0.9058 0.7577  -0.01
Br 0.7535 0.7535 0.2442  -0.01

Results
The density of states at the Fermi level comes out at 0.943 states/eV/atom. The calculation puts the total magnetization at 0.25 μB per atom. As for the uncorrected formation energy: -1526 meV/atom. The total energy comes out at -4.538 eV per atom.